[1]
NdTmRe4 (PBE, optimized geometry); size of the total moment = 0.00 μB per formula unit; ΔH_f (0 K) = -0.474 eV per formula unit; mass density = 15.35 g cm⁻³
1.0
0.0000 3.8532 3.8532
3.8532 0.0000 3.8532
3.8532 3.8532 0.0000
Nd Tm Re
1 1 4
Direct
0.0000 0.0000 0.0000 Nd
0.7500 0.7500 0.7500 Tm
0.3751 0.3751 0.3751 Re
0.3751 0.3751 0.8746 Re
0.3751 0.8746 0.3751 Re
0.8746 0.3751 0.3751 Re



[2]
BaCaTmMg (PBE, optimized geometry); size of the total moment = 0.00 μB per formula unit; ΔH_f (0 K) = 0.671 eV per formula unit; mass density = 4.20 g cm⁻³
1.0
0.0000 4.1854 4.1854
4.1854 0.0000 4.1854
4.1854 4.1854 0.0000
Ba Ca Tm Mg
1 1 1 1
Direct
0.0000 0.0000 0.0000 Ba
0.2500 0.2500 0.2500 Ca
0.5000 0.5000 0.5000 Tm
0.7500 0.7500 0.7500 Mg



[3]
IrI4 (PBE, optimized geometry); size of the total moment = 0.00 μB per formula unit; raw formation energy = 0.394 eV/atom; energy relative to the lowest polymorph listed for this composition = 488 meV/atom; mass density = 7.19 g cm⁻³
1.0
5.4469 0.0000 0.0000
0.0000 5.4469 0.0000
0.0000 0.0000 5.4469
Ir I
1 4
Direct
0.0000 0.0000 0.0000 Ir
0.0000 0.0000 0.5000 I
0.0000 0.5000 0.0000 I
0.5000 0.0000 0.0000 I
0.5000 0.5000 0.5000 I